# 1
Below is a crystal of As2OsBr relaxed with PBEsol, with properties calculated at the meta-GGA SCAN level.

Calculated values
- DOS at the Fermi energy (states/eV per cell) = 1.18
- raw total energy (eV/cell) = -131.3
- volume (Å³ per cell) = 81.3

Lattice parameters (Å, degrees): 2.9313 2.9313 9.4639 90.00 90.00 90.00
Space group P4/mmm (No. 123)
Symmetry-distinct sites (fractional):
As (0.0000, 0.0000, 0.1702)
Os (0.5000, 0.5000, 0.0000)
Br (0.5000, 0.5000, 0.5000)


# 2
Below is a crystal of AlW2Se relaxed with PBEsol, with properties calculated at the meta-GGA SCAN level.

Calculated values
- DOS at the Fermi energy (states/eV per cell) = 5.30
- raw total energy (eV/cell) = -330.5
- volume (Å³ per cell) = 126.0
- polymorph energy (0 for the lowest one) (eV per atom) = 0.239

Lattice parameters (Å, degrees): 3.2555 4.5346 8.5367 90.00 90.00 90.00
Space group Imm2 (No. 44)
Symmetry-distinct sites (fractional):
Al (0.0000, 0.0000, 0.0000)
W (0.0000, 0.0000, 0.5035)
W (0.0000, 0.5000, 0.2489)
Se (0.0000, 0.5000, 0.7646)


# 3
Below is a crystal of BaMgTaCl2 relaxed with PBEsol, with properties calculated at the meta-GGA SCAN level.

Calculated values
- DOS at the Fermi energy (states/eV per cell) = 2.65
- raw total energy (eV/cell) = -127.6
- volume (Å³ per cell) = 143.7

Lattice parameters (Å, degrees): 4.9557 4.9557 5.8526 90.00 90.00 90.00
Space group P4/mmm (No. 123)
Symmetry-distinct sites (fractional):
Ba (0.0000, 0.0000, 0.0000)
Mg (0.5000, 0.5000, 0.5000)
Ta (0.5000, 0.5000, 0.0000)
Cl (0.0000, 0.5000, 0.5000)


# 4
Below is a crystal of AgSbPbS3 relaxed with PBEsol, with properties calculated at the meta-GGA SCAN level.

Calculated values
- DOS at the Fermi energy (states/eV per cell) = 1.28
- raw total energy (eV/cell) = -349.9
- volume (Å³ per cell) = 263.4
- polymorph energy (0 for the lowest one) (eV per atom) = 0.012

Lattice parameters (Å, degrees): 3.9514 5.6209 11.8606 90.00 90.00 90.00
Space group Imm2 (No. 44)
Symmetry-distinct sites (fractional):
Ag (0.0000, 0.0000, 0.0000)
Sb (0.0000, 0.0000, 0.6775)
Pb (0.0000, 0.0000, 0.3399)
S (0.0000, 0.5000, 0.0267)
S (0.0000, 0.5000, 0.3459)
S (0.0000, 0.5000, 0.6646)